No. 1
Compound: TmCu8Ag3
Source: the Alexandria database
Functional: PBE
Structure: relaxed

POSCAR file:
```
TmCu8Ag3
1.0
-1.632 4.679 0.467
-4.887 0.922 0.214
-1.956 1.131 8.367
Cu Tm Ag
8 1 3
Cartesian
-6.315 4.911 8.303 Cu
-5.008 5.566 6.304 Cu
-3.217 2.664 1.824 Cu
-2.078 1.544 3.792 Cu
-4.035 5.009 2.058 Cu
-6.640 3.683 6.177 Cu
-7.458 6.029 6.411 Cu
-5.667 3.126 1.931 Cu
-6.437 5.325 3.732 Tm
-4.235 3.356 4.627 Ag
-4.156 3.090 7.576 Ag
-1.957 1.134 8.333 Ag
```

Values from the calculation:
magnetization	0.00	μB per cell
formation enthalpy at 0 K	-0.87	eV per formula unit
crystal system	trigonal
space group	No. 160

***

No. 2
Compound: Tm6Cu5Ag
Source: the Alexandria database
Functional: PBE
Structure: relaxed

POSCAR file:
```
Tm6Cu5Ag
1.0
4.646 -0.028 1.548
0.037 6.850 0.012
0.003 -0.014 7.736
Cu Tm Ag
5 6 1
Cartesian
0.018 3.425 0.006 Cu
3.095 -0.028 6.203 Cu
3.110 3.397 6.220 Cu
1.576 3.411 3.076 Cu
1.554 -0.014 3.081 Cu
3.868 1.707 3.915 Tm
3.886 5.087 3.921 Tm
0.800 1.721 5.376 Tm
0.818 5.101 5.382 Tm
2.350 5.076 0.783 Tm
2.332 1.747 0.777 Tm
0.000 0.000 0.000 Ag
```

Values from the calculation:
magnetization	0.00	μB per cell
formation enthalpy at 0 K	-3.54	eV per formula unit
crystal system	orthorhombic
space group	No. 65

***

No. 3
Compound: Tm4CuAg2
Source: the Alexandria database
Functional: PBE
Structure: relaxed

POSCAR file:
```
Tm4CuAg2
1.0
-0.195 4.258 2.528
1.575 0.168 4.696
7.949 3.350 -0.171
Tm Cu Ag
4 1 2
Cartesian
5.164 2.653 0.788 Tm
1.829 3.179 4.502 Tm
7.499 4.597 2.550 Tm
4.164 5.123 6.265 Tm
0.000 0.000 0.000 Cu
6.974 5.826 5.297 Ag
2.354 1.949 1.756 Ag
```

Values from the calculation:
magnetization	0.00	μB per cell
formation enthalpy at 0 K	-1.15	eV per formula unit
crystal system	trigonal
space group	No. 166

***

No. 4
Compound: Tm8Cu2Ag
Source: the Alexandria database
Functional: PBE
Structure: relaxed

POSCAR file:
```
Tm8Cu2Ag
1.0
5.422 -0.115 -0.173
-1.055 7.732 -0.279
-1.055 -3.236 7.028
Tm Cu Ag
8 2 1
Cartesian
3.210 2.074 6.100 Tm
1.656 -0.758 5.252 Tm
2.954 1.642 2.464 Tm
0.358 2.739 4.111 Tm
1.656 5.139 1.324 Tm
3.210 4.831 4.264 Tm
0.102 -0.450 2.312 Tm
0.102 2.307 0.476 Tm
-1.055 4.375 1.957 Cu
-1.055 0.121 4.791 Cu
2.711 -0.057 -0.086 Ag
```

Values from the calculation:
magnetization	0.00	μB per cell
formation enthalpy at 0 K	-0.22	eV per formula unit
crystal system	monoclinic
space group	No. 12

***

No. 5
Compound: Tm5CuAg4
Source: the Alexandria database
Functional: PBE
Structure: relaxed

POSCAR file:
```
Tm5CuAg4
1.0
3.525 0.000 0.000
0.000 3.525 0.000
0.000 0.000 18.094
Tm Ag Cu
5 4 1
Cartesian
1.763 1.763 1.672 Tm
1.763 1.763 5.363 Tm
1.763 1.763 16.422 Tm
1.763 1.763 12.731 Tm
1.763 1.763 9.047 Tm
0.000 0.000 10.887 Ag
0.000 0.000 3.533 Ag
0.000 0.000 14.561 Ag
0.000 0.000 7.207 Ag
0.000 0.000 0.000 Cu
```

Values from the calculation:
magnetization	0.00	μB per cell
formation enthalpy at 0 K	-3.28	eV per formula unit
crystal system	tetragonal
space group	No. 123

***

No. 6
Compound: TmCu4Ag
Source: the Alexandria database
Functional: PBE
Structure: relaxed

POSCAR file:
```
TmCu4Ag
1.0
-3.974 -2.679 1.536
-0.422 -4.845 -1.297
0.579 -3.595 3.474
Ag Cu Tm
1 4 1
Cartesian
0.000 0.000 0.000 Ag
-0.391 -5.610 1.551 Cu
-2.388 -6.957 2.323 Cu
-2.680 -5.150 0.577 Cu
-2.176 -4.522 2.975 Cu
-0.954 -2.780 0.928 Tm
```

Values from the calculation:
magnetization	0.00	μB per cell
formation enthalpy at 0 K	-1.40	eV per formula unit
crystal system	cubic
space group	No. 216

***

No. 7
Compound: Tm2Cu2Ag3
Source: the Alexandria database
Functional: PBE
Structure: relaxed

POSCAR file:
```
Tm2Cu2Ag3
1.0
-2.328 -1.710 -2.180
0.702 -3.313 1.848
-7.582 3.588 5.282
Ag Tm Cu
3 2 2
Cartesian
-7.345 0.796 4.215 Ag
-1.864 -2.230 0.736 Ag
0.000 0.000 0.000 Ag
-4.583 -0.339 5.159 Tm
-2.298 0.614 1.972 Tm
-5.323 0.256 2.479 Cu
-3.886 -1.690 2.471 Cu
```

Values from the calculation:
magnetization	0.00	μB per cell
formation enthalpy at 0 K	-1.66	eV per formula unit
crystal system	orthorhombic
space group	No. 65

***

No. 8
Compound: TmCuAg
Source: the Alexandria database
Functional: PBE
Structure: relaxed

POSCAR file:
```
TmCuAg
1.0
4.508 0.000 0.000
2.254 3.904 0.000
2.254 1.301 3.681
Tm Ag Cu
1 1 1
Cartesian
0.000 0.000 0.000 Tm
4.508 2.603 1.840 Ag
2.254 1.301 0.920 Cu
```

Values from the calculation:
magnetization	0.00	μB per cell
polymorph energy (0 for the lowest one)	0.208	eV/atom
formation enthalpy at 0 K	-0.27	eV per formula unit
crystal system	cubic
space group	No. 216

***

No. 9
Compound: TmCuAg4
Source: the Alexandria database
Functional: PBE
Structure: relaxed

POSCAR file:
```
TmCuAg4
1.0
-1.710 -3.863 3.492
-3.810 -3.616 -1.564
1.372 -5.242 -0.826
Ag Cu Tm
4 1 1
Cartesian
-2.593 -7.954 0.689 Ag
-0.684 -6.142 1.473 Ag
-1.737 -6.019 -1.061 Ag
-3.281 -5.328 1.103 Ag
0.000 0.000 0.000 Cu
-1.037 -3.180 0.275 Tm
```

Values from the calculation:
magnetization	0.00	μB per cell
formation enthalpy at 0 K	0.10	eV per formula unit
crystal system	cubic
space group	No. 216

***

No. 10
Compound: Tm4Cu2Ag
Source: the Alexandria database
Functional: PBE
Structure: relaxed

POSCAR file:
```
Tm4Cu2Ag
1.0
-4.508 -1.200 1.459
-0.690 -2.008 4.403
-2.629 6.108 5.086
Tm Cu Ag
4 2 1
Cartesian
-4.237 4.036 6.603 Tm
-5.544 -0.436 7.072 Tm
-3.590 -1.136 4.346 Tm
-2.283 3.336 3.876 Tm
-1.954 0.706 2.729 Cu
-5.873 2.194 8.220 Cu
0.000 0.000 0.000 Ag
```

Values from the calculation:
magnetization	0.00	μB per cell
polymorph energy (0 for the lowest one)	0.000	eV/atom
formation enthalpy at 0 K	-1.11	eV per formula unit
crystal system	trigonal
space group	No. 166

***

No. 11
Compound: TmCuAg
Source: the Alexandria database
Functional: PBE
Structure: relaxed

POSCAR file:
```
TmCuAg
1.0
-3.189 1.135 0.295
-0.929 -1.539 -4.122
-0.613 -2.651 3.581
Tm Ag Cu
1 1 1
Cartesian
-2.950 -1.153 -1.358 Tm
-0.533 0.190 0.049 Ag
-1.248 -2.092 1.062 Cu
```

Values from the calculation:
magnetization	0.00	μB per cell
polymorph energy (0 for the lowest one)	0.069	eV/atom
formation enthalpy at 0 K	-0.69	eV per formula unit
crystal system	hexagonal
space group	No. 187

***

No. 12
Compound: Tm4Cu3Ag
Source: the Alexandria database
Functional: PBE
Structure: relaxed

POSCAR file:
```
Tm4Cu3Ag
1.0
3.452 0.000 0.000
0.000 4.917 0.000
0.000 0.000 9.798
Tm Ag Cu
4 1 3
Cartesian
0.000 0.000 4.899 Tm
0.000 2.459 7.253 Tm
0.000 2.459 2.544 Tm
0.000 0.000 0.000 Tm
1.726 2.459 0.000 Ag
1.726 2.459 4.899 Cu
1.726 0.000 7.341 Cu
1.726 0.000 2.457 Cu
```

Values from the calculation:
magnetization	0.00	μB per cell
formation enthalpy at 0 K	-2.34	eV per formula unit
crystal system	orthorhombic
space group	No. 47